Record 1
A relaxed structure of FeAsPC, computed with PBE.

The value obtained for the distance to the lowest polymorph of the same formula is 0.323 eV/atom. For the formation energy, the calculation gives 0.507 eV/atom.

It has space group Pm (No. 6), with a = 3.191 Å, b = 2.802 Å, c = 6.796 Å, α = 90.00°, β = 103.41° and γ = 90.00°. The inequivalent atoms are Fe at (0.000, 0.000, 0.000), As at (0.403, 0.500, 0.804), P at (0.187, 0.000, 0.379) and C at (0.109, 0.500, 0.220).

---

Record 2
A relaxed structure of LaFe2Br, computed with PBE.

The value obtained for the distance to the lowest polymorph of the same formula is 0.726 eV/atom. The calculation puts the uncorrected formation energy at 238 kJ/mol of formula units.

It has space group R-3m (No. 166, hexagonal axes), with a = 3.4385 Å, b = 3.4385 Å, c = 25.9053 Å, α = 90.00°, β = 90.00° and γ = 120.00°. The inequivalent atoms are La at (0.0000, 0.0000, 0.0000), Fe at (0.0000, 0.0000, 0.2409) and Br at (0.0000, 0.0000, 0.5000).